Below is a geometry-optimized GaBi2Sb2 structure, with properties calculated at the PBE-GGA level.

## Properties
Total DFT energy (no corrections) in eV per atom: -3.5637
Crystal system: tetragonal
E above lowest polymorph in meV/atom: 75.5
Magnetization in μB per cell: 0.00
Volume in Å³ per atom: 31.05
ΔE_f (raw) in eV/atom: 0.24

a b c (Å): 9.0486 9.0486 9.0486
angles (deg): 152.73 152.73 38.95
Fractional coordinates of all 5 atoms:
Ga  0.0000  0.0000  0.0000
Bi  0.4086  0.4086  0.0000
Bi  0.5914  0.5914  0.0000
Sb  0.2500  0.7500  0.5000
Sb  0.7500  0.2500  0.5000

***

Below is a geometry-optimized Cs2LiNp3F12 structure, with properties calculated at the PBE-GGA level.

## Properties
Total DFT energy (no corrections) in eV per atom: -6.7637
Crystal system: trigonal
Magnetization in μB per cell: 12.00
Volume in Å³ per atom: 20.74
ΔE_f (raw) in eV/atom: -3.16

a b c (Å): 8.0373 8.0373 8.0373
angles (deg): 60.74 60.74 60.74
Fractional coordinates of all 18 atoms:
Cs  0.1338  0.1338  0.1338
Cs  0.8662  0.8662  0.8662
Li  0.5000  0.5000  0.5000
Np  0.0000  0.5000  0.5000
Np  0.5000  0.0000  0.5000
Np  0.5000  0.5000  0.0000
F  0.1492  0.1492  0.5933
F  0.1492  0.5933  0.1492
F  0.1910  0.5659  0.5659
F  0.4067  0.8508  0.8508
F  0.4341  0.4341  0.8090
F  0.4341  0.8090  0.4341
F  0.5659  0.1910  0.5659
F  0.5659  0.5659  0.1910
F  0.5933  0.1492  0.1492
F  0.8090  0.4341  0.4341
F  0.8508  0.4067  0.8508
F  0.8508  0.8508  0.4067

***

Below is a geometry-optimized Ce2FeSi3Pt12 structure, with properties calculated at the PBE-GGA level.

## Properties
Total DFT energy (no corrections) in eV per atom: -6.5330
Crystal system: trigonal
Magnetization in μB per cell: 2.56
Volume in Å³ per atom: 19.38
ΔE_f (raw) in eV/atom: -0.47

a b c (Å): 7.6683 7.6683 7.6683
angles (deg): 64.27 64.27 64.27
Fractional coordinates of all 18 atoms:
Ce  0.1166  0.1166  0.1166
Ce  0.8834  0.8834  0.8834
Fe  0.5000  0.5000  0.5000
Si  0.0000  0.5000  0.5000
Si  0.5000  0.0000  0.5000
Si  0.5000  0.5000  0.0000
Pt  0.1242  0.6315  0.6315
Pt  0.1400  0.1400  0.6077
Pt  0.1400  0.6077  0.1400
Pt  0.3685  0.3685  0.8758
Pt  0.3685  0.8758  0.3685
Pt  0.3923  0.8600  0.8600
Pt  0.6077  0.1400  0.1400
Pt  0.6315  0.1242  0.6315
Pt  0.6315  0.6315  0.1242
Pt  0.8600  0.3923  0.8600
Pt  0.8600  0.8600  0.3923
Pt  0.8758  0.3685  0.3685

***

Below is a geometry-optimized DyScGaTc structure, with properties calculated at the PBE-GGA level.

## Properties
Formation energy from the elements in eV/atom: -0.306
Total DFT energy (no corrections) in eV per atom: -6.3878
Crystal system: cubic
Magnetization in μB per cell: 0.00
Volume in Å³ per atom: 19.62

a b c (Å): 4.8059 4.8059 4.8059
angles (deg): 60.00 60.00 60.00
Fractional coordinates of all 4 atoms:
Dy  0.0000  0.0000  0.0000
Sc  0.5000  0.5000  0.5000
Ga  0.7500  0.7500  0.7500
Tc  0.2500  0.2500  0.2500